First-principles (PBE) data for a relaxed TaCdAu2 crystal, as listed in the Alexandria database.

abc: 3.870 2.946 7.215
angles: 65.63 90.00 90.00
Fractional coordinates of all 4 atoms:
Ta 0.500 0.750 0.750
Au 0.000 0.016 0.981
Au 0.000 0.484 0.519
Cd 0.500 0.250 0.250

Its density of states at the Fermi level is 0.518 states/eV per atom. Its crystal system is monoclinic. For the total energy, the calculation gives -19.4 eV/f.u.

***

First-principles (PBE) data for a relaxed LaMnTe2 crystal, as listed in the Alexandria database.

abc: 5.374 5.374 5.374
angles: 60.00 60.00 60.00
Fractional coordinates of all 4 atoms:
Te 0.250 0.250 0.250
Te 0.000 0.000 0.000
Mn 0.750 0.750 0.750
La 0.500 0.500 0.500

Its raw formation energy is -164.2 meV per atom. Its density of states at the Fermi level is 1.155 states/eV per atom. Its crystal system is cubic. For the total energy, the calculation gives -21.0 eV/f.u.

***

First-principles (PBE) data for a relaxed Tb2CdGa2Pt5 crystal, as listed in the Alexandria database.

abc: 3.853 9.769 9.769
angles: 90.00 90.00 90.00
Fractional coordinates of all 20 atoms:
Pt 0.500 0.289 0.567
Pt 0.500 0.211 0.067
Pt 0.500 0.067 0.789
Pt 0.500 0.433 0.289
Pt 0.500 0.789 0.933
Pt 0.500 0.933 0.211
Pt 0.500 0.000 0.500
Pt 0.500 0.500 0.000
Pt 0.500 0.711 0.433
Pt 0.500 0.567 0.711
Tb 0.000 0.676 0.176
Tb 0.000 0.176 0.324
Tb 0.000 0.824 0.676
Tb 0.000 0.324 0.824
Cd 0.000 0.500 0.500
Cd 0.000 0.000 0.000
Ga 0.000 0.122 0.622
Ga 0.000 0.878 0.378
Ga 0.000 0.622 0.878
Ga 0.000 0.378 0.122

Its density of states at the Fermi level is 0.439 states/eV per atom. Its crystal system is tetragonal. For the total energy, the calculation gives -54.7 eV/f.u.

***

First-principles (PBE) data for a relaxed Nd5Pb crystal, as listed in the Alexandria database.

abc: 4.940 6.300 7.340
angles: 108.13 90.00 113.08
Fractional coordinates of all 6 atoms:
Nd 0.012 0.025 0.050
Nd 0.347 0.693 0.210
Nd 0.376 0.753 0.728
Nd 0.042 0.085 0.568
Nd 0.694 0.389 0.389
Pb 0.694 0.389 0.889

Its density of states at the Fermi level is 1.217 states/eV per atom. Its crystal system is monoclinic. For the total energy, the calculation gives -28.6 eV/f.u.

***

- Which formula does entry 2 have?
  LaMnTe2

***

Please write out number 3 again, unchanged.
First-principles (PBE) data for a relaxed Tb2CdGa2Pt5 crystal, as listed in the Alexandria database.

abc: 3.853 9.769 9.769
angles: 90.00 90.00 90.00
Fractional coordinates of all 20 atoms:
Pt 0.500 0.289 0.567
Pt 0.500 0.211 0.067
Pt 0.500 0.067 0.789
Pt 0.500 0.433 0.289
Pt 0.500 0.789 0.933
Pt 0.500 0.933 0.211
Pt 0.500 0.000 0.500
Pt 0.500 0.500 0.000
Pt 0.500 0.711 0.433
Pt 0.500 0.567 0.711
Tb 0.000 0.676 0.176
Tb 0.000 0.176 0.324
Tb 0.000 0.824 0.676
Tb 0.000 0.324 0.824
Cd 0.000 0.500 0.500
Cd 0.000 0.000 0.000
Ga 0.000 0.122 0.622
Ga 0.000 0.878 0.378
Ga 0.000 0.622 0.878
Ga 0.000 0.378 0.122

Its density of states at the Fermi level is 0.439 states/eV per atom. Its crystal system is tetragonal. For the total energy, the calculation gives -54.7 eV/f.u.